Below is K2CaGaF6 after structural relaxation, with properties calculated at the PBE level.

Output
- Size of the total moment: 1.68 Bohr magnetons per cell
- DFT total energy: -4.720 eV/atom
- Uncorrected formation energy: -2.87 eV per atom

Cell lengths 6.205, 8.776, 6.207 Å; angles 90.00, 90.00, 90.00 degrees
Space group Pmmn (No. 59, origin choice 2)
Unique sites:
K (0.250, 0.000, 0.250) [4 per cell]
Ca (0.250, 0.250, 0.750) [2 per cell]
Ga (0.250, 0.750, 0.749) [2 per cell]
F (0.005, 0.750, 0.993) [4 per cell]
F (0.007, 0.750, 0.504) [4 per cell]
F (0.250, 0.506, 0.748) [4 per cell]